1.
Here is an optimized crystal structure of LiCo3Br9 from the Alexandria database. Energies are from GGA-PBE.

Output
Calculated total energy (eV for the cell shown): -87.8
Uncorrected formation energy (eV per formula unit): -5.60

Structure (POSCAR):
```
LiCo3Br9
1.0
-4.946 -7.522 1.141
1.801 -7.858 -7.913
4.894 -7.761 6.135
Co Br Li
6 18 2
Cartesian
5.653 -13.976 -2.616
0.405 -10.478 -4.223
0.083 -15.932 1.284
1.325 -7.658 -1.500
-3.579 -8.602 2.246
0.708 -12.321 3.088
-3.294 -10.566 1.176
3.134 -9.189 -1.138
2.744 -13.196 3.547
4.724 -13.048 -0.681
1.003 -8.773 -5.806
-0.137 -15.794 -4.158
-1.435 -11.572 -5.121
-0.807 -13.829 1.993
2.085 -11.894 -3.682
2.049 -5.989 -2.949
1.827 -15.677 -0.122
0.375 -6.762 0.439
-0.358 -9.156 -2.359
0.827 -10.435 1.737
2.440 -7.699 4.342
0.354 -17.350 3.109
-3.819 -6.865 0.583
-0.540 -11.737 5.064
1.275 -19.654 2.351
0.414 -8.064 2.667
```

=====

2.
Here is an optimized crystal structure of Cu3ReTc from the Alexandria database. Energies are from GGA-PBE.

Output
Calculated total energy (eV for the cell shown): -25.6

Structure (POSCAR):
```
Cu3ReTc
1.0
4.586 0.000 0.000
0.000 4.586 0.000
0.000 0.000 4.586
Cu Tc Re
3 1 1
Cartesian
0.000 2.293 0.000
0.000 0.000 2.293
2.293 0.000 0.000
2.293 2.293 2.293
0.000 0.000 0.000
```

=====

3.
Here is an optimized crystal structure of Ba2SrCa6 from the Alexandria database. Energies are from GGA-PBE.

Output
Calculated total energy (eV for the cell shown): -16.5

Structure (POSCAR):
```
Ba2SrCa6
1.0
9.375 -0.801 -0.464
-0.564 7.490 -0.137
-0.564 3.613 6.562
Ca Ba Sr
6 2 1
Cartesian
2.768 5.555 5.405
5.479 2.848 3.838
5.479 4.747 0.557
2.768 7.454 2.124
6.401 1.094 0.633
1.846 9.208 5.329
0.689 3.743 2.166
7.558 6.559 3.796
0.000 0.000 0.000
```

=====

4.
Here is an optimized crystal structure of Sr2YRe3O12 from the Alexandria database. Energies are from GGA-PBE.

Output
Calculated total energy (eV for the cell shown): -144.0
Uncorrected formation energy (eV per formula unit): -37.30

Structure (POSCAR):
```
Sr2YRe3O12
1.0
6.788 -0.342 -0.243
3.054 6.071 -0.243
3.054 1.778 5.810
Y O Re Sr
1 12 3 2
Cartesian
0.000 0.000 0.000
7.396 4.305 0.229
3.113 1.812 3.359
5.078 5.622 3.988
4.815 0.846 0.600
5.500 3.201 5.096
8.081 6.661 4.725
9.783 3.737 4.725
7.396 1.639 3.988
5.500 5.868 1.337
9.783 5.694 1.965
3.113 3.769 0.600
7.818 1.885 1.337
3.394 -0.171 -0.121
1.527 3.036 -0.121
1.527 0.889 2.905
8.038 4.679 3.319
4.858 2.828 2.006
```

=====

5.
Here is an optimized crystal structure of NdSm2TmP4 from the Alexandria database. Energies are from GGA-PBE.

Output
Calculated total energy (eV for the cell shown): -52.8

Structure (POSCAR):
```
NdSm2TmP4
1.0
4.087 0.000 0.000
0.000 7.072 -0.140
0.000 2.488 6.620
P Nd Sm Tm
4 1 2 1
Cartesian
2.044 3.652 4.879
2.044 5.907 1.601
4.087 2.411 1.658
0.000 7.149 4.822
2.044 3.536 -0.070
2.044 1.244 3.310
0.000 2.488 6.620
0.000 4.780 3.240
```

=====

6.
Here is an optimized crystal structure of Mg3Cd2In6 from the Alexandria database. Energies are from GGA-PBE.

Output
Calculated total energy (eV for the cell shown): -22.1

Structure (POSCAR):
```
Mg3Cd2In6
1.0
4.846 0.000 0.000
0.000 4.846 0.000
-2.423 -2.423 12.878
In Mg Cd
6 3 2
Cartesian
2.423 0.000 1.658
0.000 2.423 1.658
0.000 2.423 11.220
0.000 0.000 6.483
2.423 2.423 6.395
2.423 0.000 11.220
0.000 0.000 0.000
2.423 2.423 9.293
0.000 0.000 3.585
0.000 0.000 9.311
2.423 2.423 3.567
```

=====

7.
Here is an optimized crystal structure of LiZrSb from the Alexandria database. Energies are from GGA-PBE.

Output
Calculated total energy (eV for the cell shown): -14.6
Uncorrected formation energy (eV per formula unit): 0.03

Structure (POSCAR):
```
LiZrSb
1.0
4.742 0.000 0.000
2.371 4.107 0.000
2.371 1.369 3.872
Sb Zr Li
1 1 1
Cartesian
4.742 2.738 1.936
7.114 4.107 2.904
0.000 0.000 0.000
```

=====

8.
Here is an optimized crystal structure of Sm2Ho2Tl from the Alexandria database. Energies are from GGA-PBE.

Output
Calculated total energy (eV for the cell shown): -41.9

Structure (POSCAR):
```
Sm2Ho2Tl
1.0
5.458 0.000 0.000
-2.729 4.727 0.000
0.000 0.000 12.179
Ho Sm Tl
4 4 2
Cartesian
0.000 0.000 0.000
2.729 1.576 9.134
0.000 3.151 3.045
0.000 0.000 6.090
2.729 1.576 5.048
2.729 1.576 1.041
0.000 3.151 11.138
0.000 3.151 7.131
0.000 0.000 9.134
0.000 0.000 3.045
```

=====

Q: Which of these has the lowest calculated total energy?
A: Sr2YRe3O12